A plane-wave DFT calculation with PBE was carried out for ScHg4Cl after structural relaxation.

Cell lengths 8.5068, 8.5068, 8.5068 Å; angles 90.00, 90.00, 90.00 degrees
Space group F-43m (No. 216)
Asymmetric unit:
Sc1 0.0000 0.0000 0.0000
Hg1 0.1251 0.1251 0.3749
Cl1 0.2500 0.2500 0.7500

Computed properties:
Magnetization ... 4.81 Bohr magnetons per cell
V ... 615.6 Å³/cell
E ... -1.58 eV/atom
E_form (uncorrected) ... -0.12 eV per formula unit


A plane-wave DFT calculation with PBE was carried out for ScHgCl3 after structural relaxation.

Cell lengths 5.3259, 5.3259, 5.3259 Å; angles 90.00, 90.00, 90.00 degrees
Space group Pm-3m (No. 221)
Asymmetric unit:
Sc1 0.0000 0.0000 0.0000
Hg1 0.5000 0.5000 0.5000
Cl1 0.0000 0.5000 0.5000

Computed properties:
Magnetization ... 1.57 Bohr magnetons per cell
V ... 151.1 Å³/cell
E ... -2.72 eV/atom
Energy above the lowest structure with this stoichiometry ... 669.3 kJ/mol of formula units
E_form (uncorrected) ... -1.43 eV per formula unit


A plane-wave DFT calculation with PBE was carried out for ScHgCl3 after structural relaxation.

Cell lengths 6.4554, 6.4554, 30.1956 Å; angles 90.00, 90.00, 120.00 degrees
Space group R-3 (No. 148, hexagonal axes)
Asymmetric unit:
Sc1 0.0000 0.0000 0.1667
Hg1 0.0000 0.0000 0.3364
Cl1 0.0000 0.3656 0.4526

Computed properties:
Magnetization ... 0.00 Bohr magnetons per cell
V ... 1089.7 Å³/cell
E ... -4.11 eV/atom
Energy above the lowest structure with this stoichiometry ... 0.0 kJ/mol of formula units
E_form (uncorrected) ... -8.36 eV per formula unit


A plane-wave DFT calculation with PBE was carried out for ScHgCl3 after structural relaxation.

Cell lengths 5.0737, 5.0737, 5.0737 Å; angles 90.00, 90.00, 90.00 degrees
Space group Pm-3m (No. 221)
Asymmetric unit:
Sc1 0.0000 0.0000 0.0000
Hg1 0.5000 0.5000 0.5000
Cl1 0.0000 0.0000 0.5000

Computed properties:
Magnetization ... 0.00 Bohr magnetons per cell
V ... 130.6 Å³/cell
E ... -3.92 eV/atom
Energy above the lowest structure with this stoichiometry ... 89.6 kJ/mol of formula units
E_form (uncorrected) ... -7.43 eV per formula unit


A plane-wave DFT calculation with PBE was carried out for Sc2Hg2Cl after structural relaxation.

Cell lengths 6.8794, 6.8794, 4.7845 Å; angles 90.00, 90.00, 90.00 degrees
Space group P4/mbm (No. 127)
Asymmetric unit:
Sc1 0.1630 0.3370 0.0000
Hg1 0.1497 0.6497 0.5000
Cl1 0.0000 0.0000 0.0000

Computed properties:
Magnetization ... 0.00 Bohr magnetons per cell
V ... 226.4 Å³/cell
E ... -3.71 eV/atom
E_form (uncorrected) ... -3.41 eV per formula unit


A plane-wave DFT calculation with PBE was carried out for ScSnHgCl6 after structural relaxation.

Cell lengths 6.7100, 6.7100, 9.2199 Å; angles 90.00, 90.00, 120.00 degrees
Space group P312 (No. 149)
Asymmetric unit:
Sc1 0.0000 0.0000 0.0000
Sn1 0.6667 0.3333 0.0000
Hg1 0.3333 0.6667 0.5000
Cl1 0.3184 0.0304 0.1594

Computed properties:
Magnetization ... 0.00 Bohr magnetons per cell
V ... 359.5 Å³/cell
E ... -3.71 eV/atom
E_form (uncorrected) ... -11.65 eV per formula unit